# ErBi2

ErBi2 after structural relaxation (GGA-PBE, the Open Quantum Materials Database).

VASP energy ... -21.151 eV/cell
Total magnetization ... 0.03 μB/f.u.

Unit cell a=9.5848 b=9.5848 c=9.5848 alpha=60.00 beta=60.00 gamma=60.00
Last column: nearest neighbours and their distance in Å.
Atoms (fractional coordinates):
Er: 0.1250 0.1250 0.1250  4 Bi 2.93
Er: 0.8750 0.8750 0.8750  4 Bi 2.93
Bi: 0.0000 0.0000 0.0000  2 Er 2.93
Bi: 0.0000 0.0000 0.5000  2 Er 2.93
Bi: 0.0000 0.5000 0.0000  2 Er 2.93
Bi: 0.5000 0.0000 0.0000  2 Er 2.93


# ErBi2

ErBi2 after structural relaxation (GGA-PBE, the Open Quantum Materials Database).

VASP energy ... -13.690 eV/cell
Total magnetization ... 0.00 μB/f.u.

Unit cell a=7.6928 b=7.6928 c=7.6928 alpha=153.40 beta=153.40 gamma=37.98
Last column: nearest neighbours and their distance in Å.
Atoms (fractional coordinates):
Er: 0.0000 0.0000 0.0000  8 Bi 3.32, 4 Er 3.54
Bi: 0.3504 0.3504 0.0000  4 Er 3.32, 4 Bi 3.54
Bi: 0.6496 0.6496 0.0000  4 Er 3.32, 4 Bi 3.54


# Er5Bi3

Er5Bi3 after structural relaxation (GGA-PBE, the Open Quantum Materials Database).

VASP energy ... -161.003 eV/cell
Energy above the lowest structure with this stoichiometry ... 0.0 meV/atom
Total magnetization ... 0.00 μB/f.u.

Unit cell a=8.1760 b=9.4623 c=11.8917 alpha=90.00 beta=90.00 gamma=90.00
Last column: nearest neighbours and their distance in Å.
Atoms (fractional coordinates):
Er: 0.0217 0.2500 0.0113  5 Bi 3.15-3.23, 3 Er 3.32-3.48
Er: 0.1473 0.7500 0.2839  5 Bi 3.11-3.34, 2 Er 3.47
Er: 0.1855 0.2500 0.2816  6 Bi 3.10-3.41
Er: 0.1916 0.0648 0.5582  4 Bi 3.08-3.41, 1 Er 3.32
Er: 0.1916 0.4352 0.5582  4 Bi 3.08-3.41, 1 Er 3.32
Er: 0.3084 0.5648 0.0582  4 Bi 3.08-3.41, 1 Er 3.32
Er: 0.3084 0.9352 0.0582  4 Bi 3.08-3.41, 1 Er 3.32
Er: 0.3145 0.7500 0.7816  6 Bi 3.10-3.41
Er: 0.3527 0.2500 0.7839  5 Bi 3.11-3.34, 2 Er 3.47
Er: 0.4783 0.7500 0.5113  5 Bi 3.15-3.23, 3 Er 3.32-3.48
Er: 0.5217 0.2500 0.4887  5 Bi 3.15-3.23, 3 Er 3.32-3.48
Er: 0.6473 0.7500 0.2161  5 Bi 3.11-3.34, 2 Er 3.47
Er: 0.6855 0.2500 0.2184  6 Bi 3.10-3.41
Er: 0.6916 0.0648 0.9418  4 Bi 3.08-3.41, 1 Er 3.32
Er: 0.6916 0.4352 0.9418  4 Bi 3.08-3.41, 1 Er 3.32
Er: 0.8084 0.5648 0.4418  4 Bi 3.08-3.41, 1 Er 3.32
Er: 0.8084 0.9352 0.4418  4 Bi 3.08-3.41, 1 Er 3.32
Er: 0.8145 0.7500 0.7184  6 Bi 3.10-3.41
Er: 0.8527 0.2500 0.7161  5 Bi 3.11-3.34, 2 Er 3.47
Er: 0.9783 0.7500 0.9887  5 Bi 3.15-3.23, 3 Er 3.32-3.48
Bi: 0.0659 0.0043 0.8254  9 Er 3.17-3.47
Bi: 0.0659 0.4957 0.8254  9 Er 3.17-3.47
Bi: 0.0960 0.7500 0.5434  8 Er 3.08-3.35
Bi: 0.4040 0.2500 0.0434  8 Er 3.08-3.35
Bi: 0.4341 0.5043 0.3254  9 Er 3.17-3.47
Bi: 0.4341 0.9957 0.3254  9 Er 3.17-3.47
Bi: 0.5659 0.0043 0.6746  9 Er 3.17-3.47
Bi: 0.5659 0.4957 0.6746  9 Er 3.17-3.47
Bi: 0.5960 0.7500 0.9566  8 Er 3.08-3.35
Bi: 0.9040 0.2500 0.4566  8 Er 3.08-3.35
Bi: 0.9341 0.5043 0.1746  9 Er 3.17-3.47
Bi: 0.9341 0.9957 0.1746  9 Er 3.17-3.47


# ErBi2

ErBi2 after structural relaxation (GGA-PBE, the Open Quantum Materials Database).

VASP energy ... -26.860 eV/cell
Total magnetization ... 0.00 μB/f.u.

Unit cell a=6.9534 b=8.0984 c=3.5875 alpha=90.00 beta=90.00 gamma=90.00
Last column: nearest neighbours and their distance in Å.
Atoms (fractional coordinates):
Er: 0.0000 0.0000 0.0000  6 Bi 3.14-3.20
Er: 0.5000 0.5000 0.5000  6 Bi 3.14-3.20
Bi: 0.1536 0.3646 0.0000  1 Bi 3.06, 3 Er 3.14-3.20
Bi: 0.3464 0.8646 0.5000  1 Bi 3.06, 3 Er 3.14-3.20
Bi: 0.6536 0.1354 0.5000  1 Bi 3.06, 3 Er 3.14-3.20
Bi: 0.8464 0.6354 0.0000  1 Bi 3.06, 3 Er 3.14-3.20


# Er5Bi3

Er5Bi3 after structural relaxation (GGA-PBE, the Open Quantum Materials Database).

VASP energy ... -160.790 eV/cell
Energy above the lowest structure with this stoichiometry ... 6.7 meV/atom
Total magnetization ... 0.00 μB/f.u.

Unit cell a=11.8685 b=9.4007 c=8.1966 alpha=90.00 beta=90.00 gamma=90.00
Last column: nearest neighbours and their distance in Å.
Atoms (fractional coordinates):
Er: 0.0052 0.2500 0.0207  5 Bi 3.13-3.20, 2 Er 3.31
Er: 0.0643 0.0624 0.6906  4 Bi 3.06-3.40, 1 Er 3.31
Er: 0.0643 0.4376 0.6906  4 Bi 3.06-3.40, 1 Er 3.31
Er: 0.2104 0.7500 0.3415  5 Bi 3.05-3.33
Er: 0.2294 0.2500 0.3267  6 Bi 3.09-3.44
Er: 0.2706 0.7500 0.8267  6 Bi 3.09-3.44
Er: 0.2896 0.2500 0.8415  5 Bi 3.05-3.33
Er: 0.4357 0.5624 0.1906  4 Bi 3.06-3.40, 1 Er 3.31
Er: 0.4357 0.9376 0.1906  4 Bi 3.06-3.40, 1 Er 3.31
Er: 0.4948 0.7500 0.5207  5 Bi 3.13-3.20, 2 Er 3.31
Er: 0.5052 0.2500 0.4793  5 Bi 3.13-3.20, 2 Er 3.31
Er: 0.5643 0.0624 0.8094  4 Bi 3.06-3.40, 1 Er 3.31
Er: 0.5643 0.4376 0.8094  4 Bi 3.06-3.40, 1 Er 3.31
Er: 0.7104 0.7500 0.1585  5 Bi 3.05-3.33
Er: 0.7294 0.2500 0.1733  6 Bi 3.09-3.44
Er: 0.7706 0.7500 0.6733  6 Bi 3.09-3.44
Er: 0.7896 0.2500 0.6585  5 Bi 3.05-3.33
Er: 0.9357 0.5624 0.3094  4 Bi 3.06-3.40, 1 Er 3.31
Er: 0.9357 0.9376 0.3094  4 Bi 3.06-3.40, 1 Er 3.31
Er: 0.9948 0.7500 0.9793  5 Bi 3.13-3.20, 2 Er 3.31
Bi: 0.0263 0.7500 0.6007  7 Er 3.05-3.16
Bi: 0.1752 0.5084 0.0646  9 Er 3.18-3.52
Bi: 0.1752 0.9916 0.0646  9 Er 3.18-3.52
Bi: 0.3248 0.0084 0.5646  9 Er 3.18-3.52
Bi: 0.3248 0.4916 0.5646  9 Er 3.18-3.52
Bi: 0.4737 0.2500 0.1007  7 Er 3.05-3.16
Bi: 0.5263 0.7500 0.8993  7 Er 3.05-3.16
Bi: 0.6752 0.5084 0.4354  9 Er 3.18-3.52
Bi: 0.6752 0.9916 0.4354  9 Er 3.18-3.52
Bi: 0.8248 0.0084 0.9354  9 Er 3.18-3.52
Bi: 0.8248 0.4916 0.9354  9 Er 3.18-3.52
Bi: 0.9737 0.2500 0.3993  7 Er 3.05-3.16


# ErBi2

ErBi2 after structural relaxation (GGA-PBE, the Open Quantum Materials Database).

VASP energy ... -25.255 eV/cell
Total magnetization ... 0.01 μB/f.u.

Unit cell a=6.4537 b=6.4537 c=6.4537 alpha=60.00 beta=60.00 gamma=60.00
Last column: nearest neighbours and their distance in Å.
Atoms (fractional coordinates):
Er: 0.1250 0.1250 0.1250  12 Bi 3.78, 4 Er 3.95
Er: 0.8750 0.8750 0.8750  12 Bi 3.78, 4 Er 3.95
Bi: 0.0000 0.5000 0.5000  6 Bi 3.23
Bi: 0.5000 0.0000 0.5000  6 Bi 3.23
Bi: 0.5000 0.5000 0.0000  6 Bi 3.23
Bi: 0.5000 0.5000 0.5000  6 Bi 3.23